[1]
First-principles (PBE-GGA) data for a relaxed structure of NdEr3Se4, as listed in Alexandria.

Values from the calculation:
DOS at the Fermi energy	4.5	states/eV/f.u.
M_tot	0.0	μB/cell
final energy	-46.2	eV per cell
crystal system	orthorhombic
density	8.27	Mg/m³
formation energy without anion corrections	-1724	meV per atom

Structure (CIF):
```
data_NdEr3Se4
_symmetry_space_group_name_H-M 'P 1'
_symmetry_Int_Tables_number 1
_cell_length_a 4.019
_cell_length_b 7.120
_cell_length_c 7.120
_cell_angle_alpha 108.61
_cell_angle_beta 90.00
_cell_angle_gamma 90.00
loop_
_symmetry_equiv_pos_as_xyz
'x,y,z'
loop_
_atom_site_label
_atom_site_fract_x
_atom_site_fract_y
_atom_site_fract_z
Er1 0.000 0.000 0.500
Er2 0.500 0.500 0.500
Er3 0.000 0.500 0.000
Se1 0.000 0.738 0.738
Se2 0.000 0.262 0.262
Se3 0.500 0.744 0.256
Se4 0.500 0.256 0.744
Nd1 0.500 0.000 0.000
```

***

[2]
First-principles (PBE-GGA) data for a relaxed structure of Nd4ErSe5, as listed in Alexandria.

Values from the calculation:
DOS at the Fermi energy	4.7	states/eV/f.u.
M_tot	0.0	μB/cell
final energy	-59.1	eV per cell
crystal system	tetragonal
density	7.24	Mg/m³
formation energy without anion corrections	-1801	meV per atom

Structure (CIF):
```
data_Nd4ErSe5
_symmetry_space_group_name_H-M 'P 1'
_symmetry_Int_Tables_number 1
_cell_length_a 4.186
_cell_length_b 4.186
_cell_length_c 15.197
_cell_angle_alpha 97.92
_cell_angle_beta 97.92
_cell_angle_gamma 90.00
loop_
_symmetry_equiv_pos_as_xyz
'x,y,z'
loop_
_atom_site_label
_atom_site_fract_x
_atom_site_fract_y
_atom_site_fract_z
Se1 0.095 0.095 0.190
Se2 0.297 0.297 0.594
Se3 0.703 0.703 0.406
Se4 0.905 0.905 0.810
Se5 0.500 0.500 0.000
Nd1 0.805 0.805 0.611
Nd2 0.195 0.195 0.389
Nd3 0.602 0.602 0.204
Nd4 0.398 0.398 0.796
Er1 0.000 0.000 0.000
```

***

[3]
First-principles (PBE-GGA) data for a relaxed structure of NdErSe3, as listed in Alexandria.

Values from the calculation:
M_tot	0.0	μB/cell
final energy	-58.3	eV per cell
crystal system	monoclinic
density	6.62	Mg/m³
formation energy without anion corrections	-1869	meV per atom

Structure (CIF):
```
data_NdErSe3
_symmetry_space_group_name_H-M 'P 1'
_symmetry_Int_Tables_number 1
_cell_length_a 4.108
_cell_length_b 8.123
_cell_length_c 8.278
_cell_angle_alpha 95.08
_cell_angle_beta 90.00
_cell_angle_gamma 90.00
loop_
_symmetry_equiv_pos_as_xyz
'x,y,z'
loop_
_atom_site_label
_atom_site_fract_x
_atom_site_fract_y
_atom_site_fract_z
Se1 0.750 0.625 0.390
Se2 0.250 0.901 0.680
Se3 0.750 0.314 0.974
Se4 0.750 0.099 0.320
Se5 0.250 0.686 0.026
Se6 0.250 0.375 0.610
Nd1 0.750 0.622 0.772
Nd2 0.250 0.378 0.228
Er1 0.250 0.853 0.327
Er2 0.750 0.147 0.673
```

***

[4]
First-principles (PBE-GGA) data for a relaxed structure of NdEr2Se4, as listed in Alexandria.

Values from the calculation:
DOS at the Fermi energy	2.1	states/eV/f.u.
M_tot	0.0	μB/cell
final energy	-163.0	eV per cell
crystal system	orthorhombic
density	7.15	Mg/m³
formation energy without anion corrections	-1846	meV per atom

Structure (CIF):
```
data_NdEr2Se4
_symmetry_space_group_name_H-M 'P 1'
_symmetry_Int_Tables_number 1
_cell_length_a 4.010
_cell_length_b 12.550
_cell_length_c 14.662
_cell_angle_alpha 90.00
_cell_angle_beta 90.00
_cell_angle_gamma 90.00
loop_
_symmetry_equiv_pos_as_xyz
'x,y,z'
loop_
_atom_site_label
_atom_site_fract_x
_atom_site_fract_y
_atom_site_fract_z
Se1 0.250 0.900 0.924
Se2 0.750 0.457 0.784
Se3 0.750 0.100 0.076
Se4 0.750 0.600 0.424
Se5 0.750 0.957 0.716
Se6 0.250 0.698 0.677
Se7 0.750 0.802 0.177
Se8 0.750 0.372 0.044
Se9 0.250 0.543 0.216
Se10 0.250 0.628 0.956
Se11 0.750 0.302 0.323
Se12 0.250 0.198 0.823
Se13 0.250 0.400 0.576
Se14 0.250 0.043 0.284
Se15 0.250 0.128 0.544
Se16 0.750 0.872 0.456
Nd1 0.750 0.747 0.828
Nd2 0.250 0.253 0.172
Nd3 0.250 0.753 0.328
Nd4 0.750 0.247 0.672
Er1 0.250 0.944 0.113
Er2 0.250 0.905 0.591
Er3 0.250 0.444 0.387
Er4 0.750 0.556 0.613
Er5 0.250 0.405 0.909
Er6 0.750 0.095 0.409
Er7 0.750 0.595 0.091
Er8 0.750 0.056 0.887
```

***

[5]
First-principles (PBE-GGA) data for a relaxed structure of Nd4SmEr3Se8, as listed in Alexandria.

Values from the calculation:
DOS at the Fermi energy	8.9	states/eV/f.u.
M_tot	0.0	μB/cell
final energy	-93.9	eV per cell
crystal system	trigonal
density	7.63	Mg/m³
formation energy without anion corrections	-1782	meV per atom

Structure (CIF):
```
data_Nd4SmEr3Se8
_symmetry_space_group_name_H-M 'P 1'
_symmetry_Int_Tables_number 1
_cell_length_a 8.217
_cell_length_b 8.398
_cell_length_c 8.219
_cell_angle_alpha 119.31
_cell_angle_beta 119.99
_cell_angle_gamma 90.00
loop_
_symmetry_equiv_pos_as_xyz
'x,y,z'
loop_
_atom_site_label
_atom_site_fract_x
_atom_site_fract_y
_atom_site_fract_z
Se1 0.256 0.269 0.513
Se2 0.752 0.265 0.013
Se3 0.744 0.731 0.487
Se4 0.248 0.735 0.496
Se5 0.739 0.735 0.987
Se6 0.752 0.265 0.504
Se7 0.248 0.735 0.987
Se8 0.261 0.265 0.013
Nd1 0.000 0.000 0.000
Nd2 0.000 0.000 0.500
Nd3 0.500 0.000 0.500
Nd4 0.500 0.000 0.000
Er1 0.500 0.500 0.000
Er2 0.000 0.500 0.500
Er3 0.500 0.500 0.500
Sm1 0.000 0.500 0.000
```

***

[6]
First-principles (PBE-GGA) data for a relaxed structure of NdSmEr2Se4, as listed in Alexandria.

Values from the calculation:
DOS at the Fermi energy	3.8	states/eV/f.u.
M_tot	0.0	μB/cell
final energy	-46.7	eV per cell
crystal system	monoclinic
density	7.93	Mg/m³
formation energy without anion corrections	-1766	meV per atom

Structure (CIF):
```
data_NdSmEr2Se4
_symmetry_space_group_name_H-M 'P 1'
_symmetry_Int_Tables_number 1
_cell_length_a 4.046
_cell_length_b 7.315
_cell_length_c 7.052
_cell_angle_alpha 71.44
_cell_angle_beta 90.00
_cell_angle_gamma 90.00
loop_
_symmetry_equiv_pos_as_xyz
'x,y,z'
loop_
_atom_site_label
_atom_site_fract_x
_atom_site_fract_y
_atom_site_fract_z
Se1 0.000 0.767 0.742
Se2 0.000 0.233 0.258
Se3 0.500 0.235 0.753
Se4 0.500 0.765 0.247
Er1 0.000 0.000 0.000
Er2 0.500 0.000 0.500
Nd1 0.500 0.500 0.000
Sm1 0.000 0.500 0.500
```

***

[7]
First-principles (PBE-GGA) data for a relaxed structure of Nd3Sm2ErSe6, as listed in Alexandria.

Values from the calculation:
DOS at the Fermi energy	5.7	states/eV/f.u.
M_tot	0.0	μB/cell
final energy	-70.9	eV per cell
crystal system	monoclinic
density	7.36	Mg/m³
formation energy without anion corrections	-1809	meV per atom

Structure (CIF):
```
data_Nd3Sm2ErSe6
_symmetry_space_group_name_H-M 'P 1'
_symmetry_Int_Tables_number 1
_cell_length_a 4.153
_cell_length_b 8.425
_cell_length_c 9.354
_cell_angle_alpha 103.43
_cell_angle_beta 102.83
_cell_angle_gamma 90.00
loop_
_symmetry_equiv_pos_as_xyz
'x,y,z'
loop_
_atom_site_label
_atom_site_fract_x
_atom_site_fract_y
_atom_site_fract_z
Se1 0.339 0.916 0.678
Se2 0.000 0.237 0.000
Se3 0.667 0.580 0.334
Se4 0.000 0.763 0.000
Se5 0.661 0.084 0.322
Se6 0.333 0.420 0.666
Sm1 0.168 0.336 0.336
Sm2 0.832 0.664 0.664
Er1 0.500 0.000 0.000
Nd1 0.830 0.167 0.660
Nd2 0.500 0.500 0.000
Nd3 0.170 0.833 0.340
```

***

[8]
First-principles (PBE-GGA) data for a relaxed structure of NdSm3Er2Se6, as listed in Alexandria.

Values from the calculation:
DOS at the Fermi energy	5.3	states/eV/f.u.
M_tot	0.0	μB/cell
final energy	-70.3	eV per cell
crystal system	monoclinic
density	7.75	Mg/m³
formation energy without anion corrections	-1783	meV per atom

Structure (CIF):
```
data_NdSm3Er2Se6
_symmetry_space_group_name_H-M 'P 1'
_symmetry_Int_Tables_number 1
_cell_length_a 7.164
_cell_length_b 7.164
_cell_length_c 7.185
_cell_angle_alpha 99.52
_cell_angle_beta 99.52
_cell_angle_gamma 120.22
loop_
_symmetry_equiv_pos_as_xyz
'x,y,z'
loop_
_atom_site_label
_atom_site_fract_x
_atom_site_fract_y
_atom_site_fract_z
Se1 0.265 0.265 0.761
Se2 0.573 0.919 0.755
Se3 0.735 0.735 0.239
Se4 0.919 0.573 0.755
Se5 0.081 0.427 0.245
Se6 0.427 0.081 0.245
Er1 0.666 0.334 0.000
Er2 0.334 0.666 0.000
Sm1 0.159 0.841 0.500
Sm2 0.841 0.159 0.500
Sm3 0.500 0.500 0.500
Nd1 0.000 0.000 0.000
```